1.
The following is a DFT calculation (PBE-GGA) of crystalline Sc2Ni4B at its relaxed geometry.

Summary:
Energy relative to the elements, meV/atom: -310
ρ, g/cm³: 5.61

a b c (Å): 3.7924 3.7924 7.4091
angles (deg): 75.17 75.17 90.00
Closest atoms and distances in Å follow each position.
Atoms (fractional coordinates):
B 0.0000 0.0000 0.0000  6 Ni 1.90-1.92
Sc 0.6635 0.6635 0.6730  9 Ni 2.70-2.95
Ni 0.1389 0.1389 0.7223  1 B 1.92
Ni 0.8611 0.8611 0.2777  1 B 1.92
Ni 0.5000 0.0000 0.0000  2 B 1.90
Ni 0.0000 0.5000 0.0000  2 B 1.90
Sc 0.3365 0.3365 0.3270  9 Ni 2.70-2.95

***

2.
The following is a DFT calculation (PBE-GGA) of crystalline LaHgSb2Pd at its relaxed geometry.

Summary:
Energy relative to the elements, uncorrected, meV per atom: -258
ρ, g/cm³: 7.58

a b c (Å): 5.2254 5.5339 5.2254
angles (deg): 90.00 90.00 90.00
Closest atoms and distances in Å follow each position.
Atoms (fractional coordinates):
Sb 0.5000 0.0000 0.0000  2 Pd 2.61
La 0.0000 0.5000 0.0000  2 Pd 2.77
Hg 0.5000 0.5000 0.5000  4 La 3.69, 8 Sb 3.81
Sb 0.0000 0.0000 0.5000  2 Pd 2.61
Pd 0.0000 0.0000 0.0000  4 Sb 2.61, 2 La 2.77